The following is a DFT calculation (PBE) of a relaxed structure of HgSe.

a = 6.6409 Å, b = 6.6409 Å, c = 9.2570 Å
α = 107.69°, β = 107.69°, γ = 24.35°
With the nearest neighbours (Å) after each atom.
Element x y z (fractional)
Hg 0.0000 0.0000 0.0000  2 Hg 2.80, 1 Se 2.83
Hg 0.5650 0.5650 0.3472  2 Hg 2.80, 1 Se 3.09
Hg 0.6905 0.6905 0.7014  2 Hg 2.80, 1 Se 3.02
Se 0.2537 0.2537 0.0548  3 Se 2.51-2.80
Se 0.3253 0.3253 0.3393  3 Se 2.51-2.80
Se 0.9178 0.9178 0.6791  2 Se 2.80, 2 Hg 2.83-3.02

Computed properties:
formation energy without anion corrections: 0.09 eV per atom
crystal system: monoclinic
spin magnetization: 0.00 μB/f.u.
electronic total energy: -1.80 eV/atom



The following is a DFT calculation (PBE) of a relaxed structure of LuPaGePt.

a = 4.9746 Å, b = 4.9746 Å, c = 4.9746 Å
α = 60.00°, β = 60.00°, γ = 60.00°
With the nearest neighbours (Å) after each atom.
Element x y z (fractional)
Lu 0.0000 0.0000 0.0000  4 Ge 3.05, 4 Pt 3.05
Pa 0.5000 0.5000 0.5000  4 Ge 3.05, 4 Pt 3.05
Ge 0.7500 0.7500 0.7500  4 Lu 3.05, 4 Pa 3.05
Pt 0.2500 0.2500 0.2500  4 Pa 3.05, 4 Lu 3.05

Computed properties:
DFT formation energy: -643 meV per atom
crystal system: cubic
spin magnetization: 1.11 μB/f.u.
electronic total energy: -6.81 eV/atom